Entry 1:
Entry from the Alexandria database: a relaxed CsRb2ZrCl6 crystal (PBE-GGA).

Properties
- Electronic total energy: -4.0854 eV/atom
- Calculated density: 2.5 g/cm3
- ΔE_f (raw): -1844 meV/atom

Lattice parameters (Å, degrees): 7.5297 7.5297 17.2606 77.40 77.40 60.00
With the nearest neighbours (Å) after each atom.
Sites, in units of the cell vectors:
Cl (0.8521, 0.3683, 0.4113)  1 Zr 2.57
Cl (0.1899, 0.1899, 0.9103)  1 Zr 2.57
Cl (0.2902, 0.8101, 0.0897)  1 Zr 2.57
Cl (0.1479, 0.6317, 0.5887)  1 Zr 2.57
Cl (0.7098, 0.1899, 0.9103)  1 Zr 2.57
Cl (0.3683, 0.8521, 0.4113)  1 Zr 2.57
Cl (0.8101, 0.8101, 0.0897)  1 Zr 2.57
Cl (0.3683, 0.3683, 0.4113)  1 Zr 2.57
Cl (0.6317, 0.6317, 0.5887)  1 Zr 2.57
Cl (0.6317, 0.1479, 0.5887)  1 Zr 2.57
Cl (0.1899, 0.7098, 0.9103)  1 Zr 2.57
Cl (0.8101, 0.2902, 0.0897)  1 Zr 2.57
Rb (0.1474, 0.1474, 0.5577)  3 Cl 3.32
Rb (0.3141, 0.3141, 0.0576)  3 Cl 3.34
Rb (0.6859, 0.6859, 0.9424)  3 Cl 3.34
Rb (0.8526, 0.8526, 0.4423)  3 Cl 3.32
Cs (0.5847, 0.5847, 0.2460)  6 Cl 3.45-3.47
Cs (0.4153, 0.4153, 0.7540)  6 Cl 3.45-3.47
Zr (0.0000, 0.0000, 0.0000)  6 Cl 2.57
Zr (0.5000, 0.5000, 0.5000)  6 Cl 2.57

***

Entry 2:
Entry from the Alexandria database: a relaxed Ba2LaMn crystal (PBE-GGA).

Properties
- Electronic total energy: -4.1028 eV/atom
- Calculated density: 4.7 g/cm3
- DFT formation energy: 0.383 eV/atom

Lattice parameters (Å, degrees): 7.4451 7.4451 7.4451 148.66 129.49 60.66
With the nearest neighbours (Å) after each atom.
Sites, in units of the cell vectors:
La (0.5591, 0.5591, 0.0000)  2 Mn 3.00
Ba (0.2543, 0.7543, 0.5000)  4 Mn 3.77, 4 Ba 4.02-4.08, 2 La 4.05
Ba (0.9541, 0.9541, 0.0000)  2 Mn 3.49
Mn (0.7325, 0.2325, 0.5000)  2 La 3.00

***

Entry 3:
Entry from the Alexandria database: a relaxed Co2PRh crystal (PBE-GGA).

Properties
- Electronic total energy: -6.8480 eV/atom
- Calculated density: 8.7 g/cm3
- DFT formation energy: -0.105 eV/atom

Lattice parameters (Å, degrees): 2.7757 2.7757 6.2088 90.00 90.00 90.00
With the nearest neighbours (Å) after each atom.
Sites, in units of the cell vectors:
Co (0.0000, 0.0000, 0.0175)  8 Co 2.56-2.78, 4 Rh 2.68, 1 P 2.86
Co (0.5000, 0.5000, 0.2815)  4 P 2.31, 4 Co 2.56
P (0.0000, 0.0000, 0.4782)  4 Co 2.31, 4 Rh 2.48
Rh (0.5000, 0.5000, 0.7228)  4 P 2.48, 5 Co 2.68-2.74, 4 Rh 2.78

***

Entry 4:
Entry from the Alexandria database: a relaxed Sc2InMo crystal (PBE-GGA).

Properties
- Electronic total energy: -6.4498 eV/atom
- Calculated density: 6.0 g/cm3
- DFT formation energy: 0.108 eV/atom

Lattice parameters (Å, degrees): 2.9921 2.9921 9.2563 90.00 90.00 90.04
With the nearest neighbours (Å) after each atom.
Sites, in units of the cell vectors:
Mo (0.5000, 0.5000, 0.7451)  4 Mo 2.99, 4 In 3.00, 4 Sc 3.01
Sc (0.5000, 0.5000, 0.2628)  4 Sc 2.99, 4 In 3.15
Sc (0.0000, 0.0000, 0.9766)  4 Sc 2.99, 4 Mo 3.01
In (0.0000, 0.0000, 0.5155)  4 In 2.99, 4 Mo 3.00, 4 Sc 3.15

***

Entry 5:
Entry from the Alexandria database: a relaxed Ac3BeB2N6 crystal (PBE-GGA).

Properties
- Electronic total energy: -7.4382 eV/atom
- Calculated density: 7.8 g/cm3
- ΔE_f (raw): -825 meV/atom

Lattice parameters (Å, degrees): 5.5135 5.5135 6.3946 90.00 90.00 120.00
With the nearest neighbours (Å) after each atom.
Sites, in units of the cell vectors:
Ac (0.3333, 0.6667, 0.6748)  1 B 2.58, 9 N 2.77-2.83
Ac (0.0000, 0.0000, 0.0000)  6 N 2.56
Ac (0.6667, 0.3333, 0.3252)  1 B 2.58, 9 N 2.77-2.83
N (0.3590, 0.1795, 0.7028)  1 B 1.48
N (0.8205, 0.6410, 0.7028)  1 B 1.48
N (0.1795, 0.8205, 0.2972)  1 B 1.48
N (0.8205, 0.1795, 0.7028)  1 B 1.48
N (0.1795, 0.3590, 0.2972)  1 B 1.48
N (0.6410, 0.8205, 0.2972)  1 B 1.48
B (0.6667, 0.3333, 0.7289)  3 N 1.48
B (0.3333, 0.6667, 0.2711)  3 N 1.48
Be (0.0000, 0.0000, 0.5000)  6 N 2.15

***

Entry 6:
Entry from the Alexandria database: a relaxed Dy2ScIr crystal (PBE-GGA).

Properties
- Electronic total energy: -6.6851 eV/atom
- Calculated density: 9.3 g/cm3
- DFT formation energy: -0.586 eV/atom

Lattice parameters (Å, degrees): 6.3707 7.0044 8.9894 90.00 90.00 90.00
With the nearest neighbours (Å) after each atom.
Sites, in units of the cell vectors:
Sc (0.8749, 0.0376, 0.2500)  2 Ir 2.62-2.70
Sc (0.1251, 0.9624, 0.7500)  2 Ir 2.62-2.70
Sc (0.3749, 0.4624, 0.7500)  2 Ir 2.62-2.70
Sc (0.6251, 0.5376, 0.2500)  2 Ir 2.62-2.70
Dy (0.1820, 0.6821, 0.0591)  3 Ir 2.87-3.09
Dy (0.8180, 0.3179, 0.9409)  3 Ir 2.87-3.09
Dy (0.6820, 0.8179, 0.9409)  3 Ir 2.87-3.09
Dy (0.3180, 0.1821, 0.0591)  3 Ir 2.87-3.09
Dy (0.1820, 0.6821, 0.4409)  3 Ir 2.87-3.09
Dy (0.3180, 0.1821, 0.4409)  3 Ir 2.87-3.09
Dy (0.8180, 0.3179, 0.5591)  3 Ir 2.87-3.09
Dy (0.6820, 0.8179, 0.5591)  3 Ir 2.87-3.09
Ir (0.4840, 0.8896, 0.2500)  2 Sc 2.62-2.70, 2 Dy 2.87
Ir (0.0160, 0.3896, 0.2500)  2 Sc 2.62-2.70, 2 Dy 2.87
Ir (0.5160, 0.1104, 0.7500)  2 Sc 2.62-2.70, 2 Dy 2.87
Ir (0.9840, 0.6104, 0.7500)  2 Sc 2.62-2.70, 2 Dy 2.87

***

Question: Look up the calculated density of the fourth one.
Answer: 6.0 g/cm3

***

Question: Which value of calculated density does entry 5 give?
Answer: 7.8 g/cm3